[1]
This record from Alexandria describes a relaxed structure of BeInBr2. The functional is PBE.

a b c (Å): 3.441 3.441 34.910
angles (deg): 90.00 90.00 120.00
Fractional positions:
Be: 0.000 0.000 0.000
Be: 0.333 0.667 0.667
Be: 0.667 0.333 0.333
In: 0.000 0.000 0.500
In: 0.333 0.667 0.167
In: 0.667 0.333 0.833
Br: 0.000 0.000 0.373
Br: 0.000 0.000 0.627
Br: 0.333 0.667 0.040
Br: 0.333 0.667 0.294
Br: 0.667 0.333 0.706
Br: 0.667 0.333 0.960

Properties
- SG = R-3m
- crystal system = trigonal
- energy relative to the elements, uncorrected (eV per atom) = -0.413

[2]
This record from Alexandria describes a relaxed structure of BeInBr2. The functional is PBE.

a b c (Å): 3.429 3.429 9.111
angles (deg): 90.00 90.00 90.00
Fractional positions:
Be: 0.000 0.000 0.000
In: 0.500 0.500 0.520
Br: 0.000 0.000 0.225
Br: 0.500 0.500 0.912

Properties
- SG = P4mm
- crystal system = tetragonal
- energy relative to the elements, uncorrected (eV per atom) = -0.255

[3]
This record from Alexandria describes a relaxed structure of BeInBr3. The functional is PBE.

a b c (Å): 8.706 7.333 10.542
angles (deg): 90.00 90.00 90.00
Fractional positions:
Be: 0.149 0.099 0.000
Be: 0.351 0.599 0.500
Be: 0.649 0.401 0.000
Be: 0.851 0.901 0.500
In: 0.124 0.569 0.825
In: 0.376 0.069 0.325
In: 0.624 0.931 0.825
In: 0.876 0.431 0.325
Br: 0.006 0.115 0.843
Br: 0.174 0.324 0.121
Br: 0.217 0.367 0.535
Br: 0.283 0.867 0.035
Br: 0.326 0.824 0.621
Br: 0.494 0.615 0.343
Br: 0.506 0.385 0.843
Br: 0.674 0.176 0.121
Br: 0.717 0.133 0.535
Br: 0.783 0.633 0.035
Br: 0.826 0.676 0.621
Br: 0.994 0.885 0.343

Properties
- SG = Pna2_1
- crystal system = orthorhombic
- energy relative to the elements, uncorrected (eV per atom) = -0.847

[4]
This record from Alexandria describes a relaxed structure of BeInBr2. The functional is PBE.

a b c (Å): 7.480 7.480 7.480
angles (deg): 90.00 90.00 90.00
Fractional positions:
Be: 0.000 0.000 0.000
Be: 0.000 0.500 0.500
Be: 0.500 0.000 0.500
Be: 0.500 0.500 0.000
In: 0.000 0.000 0.500
In: 0.000 0.500 0.000
In: 0.500 0.000 0.000
In: 0.500 0.500 0.500
Br: 0.250 0.250 0.250
Br: 0.250 0.250 0.750
Br: 0.250 0.750 0.250
Br: 0.250 0.750 0.750
Br: 0.750 0.250 0.250
Br: 0.750 0.250 0.750
Br: 0.750 0.750 0.250
Br: 0.750 0.750 0.750

Properties
- SG = Fm-3m
- crystal system = cubic
- energy relative to the elements, uncorrected (eV per atom) = 0.259

no.,final energy (eV per atom),distance to the lowest polymorph of the same formula (meV/atom)
1,-2.866,0.0
2,-2.708,158.1
3,-3.144,0.0
4,-2.194,672.0